*1*
TlOs2Au: relaxed, PBE.

Structure (extended XYZ):
```
4
Lattice="0.0000 3.2381 3.2381 3.2381 0.0000 3.2381 3.2381 3.2381 0.0000" Properties=species:S:1:pos:R:3 pbc="T T T"
Os 1.6191 1.6191 1.6191
Os 4.8572 4.8572 4.8572
Tl 3.2381 3.2381 3.2381
Au 0.0000 0.0000 0.0000
```

## Properties
- magnetic moment (μB per cell) = 0.00
- density (Mg/m³) = 19.118

*2*
TlOs2Au: relaxed, PBE.

Structure (extended XYZ):
```
4
Lattice="6.2285 0.0259 -0.0013 3.7703 4.9577 0.0013 -4.4143 -3.6657 2.4230" Properties=species:S:1:pos:R:3 pbc="T T T"
Au 1.9900 1.7984 1.2122
Os 9.5968 4.7833 0.0000
Os 3.6639 -0.4458 1.2109
Tl 5.3321 2.6576 0.0000
```

## Properties
- magnetic moment (μB per cell) = 0.00
- density (Mg/m³) = 17.402

*3*
TlOs2Au: relaxed, PBE.

Structure (extended XYZ):
```
4
Lattice="-1.6370 -2.2138 -4.1070 -3.7887 -2.9163 1.2603 0.8649 4.7704 0.9711" Properties=species:S:1:pos:R:3 pbc="T T T"
Au -1.7425 -0.0042 -2.2796
Os 0.0000 0.0000 0.0000
Os -2.8183 -0.3555 0.4041
Tl -2.7128 -2.5650 -1.4233
```

## Properties
- magnetic moment (μB per cell) = 0.00
- density (Mg/m³) = 19.151

*4*
TlOs2Au: relaxed, PBE.

Structure (extended XYZ):
```
4
Lattice="-2.2040 -0.3675 -1.7546 -0.8934 -3.6738 1.8919 -3.5280 2.8344 3.8380" Properties=species:S:1:pos:R:3 pbc="T T T"
Au -4.1947 0.1051 2.9472
Os -3.3815 2.7167 3.6787
Os -1.9104 1.5348 2.0783
Tl -2.4307 -1.3121 1.0282
```

## Properties
- magnetic moment (μB per cell) = 0.00
- density (Mg/m³) = 18.215

Structures ranked by computed energy, the most stable listed first: *2*, *3*, *4*, *1*.

*1*
TlOs2Au: relaxed, PBE.

Structure (extended XYZ):
```
8
Lattice="-2.1202 -0.6311 -3.3852 -1.1119 -3.6370 1.3745 -9.5647 1.8936 3.2221" Properties=species:S:1:pos:R:3 pbc="T T T"
Os -3.6592 -0.3173 -0.8254
Os -3.5472 -1.9369 0.9284
Os -8.4883 -0.5166 1.7896
Os -9.8987 -1.9781 0.5301
Tl 0.0000 0.0000 0.0000
Tl -6.6504 -0.4358 -0.5842
Au -1.6160 -2.1340 -1.0054
Au -6.1463 -1.9387 1.7956
```

## Properties
- magnetic moment (μB per cell) = 0.00
- density (Mg/m³) = 16.099

*2*
TlOs2Au: relaxed, PBE.

Structure (extended XYZ):
```
4
Lattice="2.8798 -0.0129 0.0000 -1.4268 2.5016 0.0000 0.0000 0.0000 9.6641" Properties=species:S:1:pos:R:3 pbc="T T T"
Au 0.7265 1.2444 7.2481
Os 0.0000 0.0000 9.6236
Os 0.0000 0.0000 4.8725
Tl 0.7265 1.2444 2.4160
```

## Properties
- magnetic moment (μB per cell) = 0.00
- density (Mg/m³) = 18.694

Structures ranked by computed energy, the most stable listed first: *1*, *2*.

*1*
TlOs2Au: relaxed, PBE.

Structure (extended XYZ):
```
4
Lattice="4.9946 -0.0021 0.0000 1.6394 4.7178 0.0000 -3.3170 -2.3579 2.8955" Properties=species:S:1:pos:R:3 pbc="T T T"
Au 2.4973 -0.0011 1.4477
Os 0.0000 0.0000 0.0000
Os 3.3170 2.3579 0.0000
Tl 0.8197 2.3589 1.4477
```

## Properties
- magnetic moment (μB per cell) = 1.08
- density (Mg/m³) = 19.025

*2*
TlOs2Au: relaxed, PBE.

Structure (extended XYZ):
```
4
Lattice="2.8994 0.0000 0.0000 0.0000 2.8994 0.0000 0.0000 0.0000 8.5519" Properties=species:S:1:pos:R:3 pbc="T T T"
Au 1.4497 1.4497 6.6729
Os 0.0000 0.0000 0.2266
Os 1.4497 1.4497 1.8066
Tl 0.0000 0.0000 4.1216
```

## Properties
- magnetic moment (μB per cell) = 0.00
- density (Mg/m³) = 18.058

*3*
TlOs2Au: relaxed, PBE.

Structure (extended XYZ):
```
4
Lattice="-3.7527 2.8641 1.1051 -4.1163 1.9648 -1.6440 -3.6678 -3.5481 1.6458" Properties=species:S:1:pos:R:3 pbc="T T T"
Au -2.8842 0.3202 0.2767
Os -0.1780 -0.1412 0.0697
Os -5.5903 0.7816 0.4837
Tl -8.6526 0.9606 0.8301
```

## Properties
- magnetic moment (μB per cell) = 0.00
- density (Mg/m³) = 18.406

Structures ranked by computed energy, the most stable listed first: *2*, *3*, *1*.

*1*
TlOs2Au: relaxed, PBE.

Structure (extended XYZ):
```
4
Lattice="4.8051 0.0000 0.0000 0.0000 2.8933 -0.0079 0.0000 -0.0449 5.0628" Properties=species:S:1:pos:R:3 pbc="T T T"
Au 2.4026 2.1363 3.7912
Os 0.0000 0.0310 4.9046
Os 0.0000 1.3483 2.6857
Tl 2.4026 0.7121 1.2637
```

## Properties
- magnetic moment (μB per cell) = 0.00
- density (Mg/m³) = 18.445

*2*
TlOs2Au: relaxed, PBE.

Structure (extended XYZ):
```
4
Lattice="-0.8861 -2.2816 -1.6501 -0.5961 -1.5387 2.4477 -7.3168 2.8395 0.0030" Properties=species:S:1:pos:R:3 pbc="T T T"
Au -6.2287 0.2194 0.4010
Os -7.1848 2.7883 0.0029
Os -3.7904 1.4709 0.0015
Tl -2.5703 -1.2003 0.3995
```

## Properties
- magnetic moment (μB per cell) = 0.00
- density (Mg/m³) = 18.982

Structures ranked by computed energy, the most stable listed first: *1*, *2*.

*1*
TlOs2Au: relaxed, PBE.

Structure (extended XYZ):
```
4
Lattice="-9.3027 0.9170 0.6973 -9.1705 -0.4320 -1.8932 -9.1400 -1.9996 0.5746" Properties=species:S:1:pos:R:3 pbc="T T T"
Au -20.7099 -1.1359 -0.4659
Os -0.0590 -0.0032 -0.0013
Os -13.7476 -0.7541 -0.3093
Tl -6.9033 -0.3786 -0.1553
```

## Properties
- magnetic moment (μB per cell) = 0.00
- density (Mg/m³) = 19.020

*2*
TlOs2Au: relaxed, PBE.

Structure (extended XYZ):
```
4
Lattice="2.8837 0.0000 0.0000 0.0000 2.9044 -0.0855 0.0000 1.6863 8.5456" Properties=species:S:1:pos:R:3 pbc="T T T"
Au 1.4418 2.8945 6.6461
Os 0.0000 2.7233 0.1560
Os 1.4418 1.3164 1.7785
Tl 0.0000 2.8563 4.0240
```

## Properties
- magnetic moment (μB per cell) = 0.00
- density (Mg/m³) = 18.034

*3*
TlOs2Au: relaxed, PBE.

Structure (extended XYZ):
```
4
Lattice="-2.7860 -0.5095 -0.2840 0.8744 -2.4521 -4.1785 0.5037 -4.1806 2.5588" Properties=species:S:1:pos:R:3 pbc="T T T"
Au 0.6890 -3.3164 -0.8099
Os 0.0000 0.0000 0.0000
Os -0.9558 -1.4808 -2.2313
Tl -1.1412 -2.3451 1.1374
```

## Properties
- magnetic moment (μB per cell) = 0.00
- density (Mg/m³) = 18.802

Structures ranked by computed energy, the most stable listed first: *2*, *3*, *1*.

*1*
TlOsAu: relaxed, PBE.

Structure (extended XYZ):
```
3
Lattice="-2.6894 -3.5794 3.0650 -1.0808 -5.1314 -1.3925 3.6094 3.9458 0.9174" Properties=species:S:1:pos:R:3 pbc="T T T"
Au -3.7250 -8.6064 1.6525
Os -1.2801 -2.9577 0.5679
Tl -2.5353 -5.8575 1.1247
```

## Properties
- magnetic moment (μB per cell) = 0.00
- density (Mg/m³) = 17.535

*2*
TlOsAu: relaxed, PBE.

Structure (extended XYZ):
```
3
Lattice="-1.7318 2.1624 1.1320 0.3142 -2.5884 1.4691 5.7176 2.7150 3.5608" Properties=species:S:1:pos:R:3 pbc="T T T"
Au 0.0989 0.0470 0.0616
Os 0.8164 1.4650 2.4066
Tl 3.3846 0.7771 3.6937
```

## Properties
- magnetic moment (μB per cell) = 1.02
- density (Mg/m³) = 17.438

Structures ranked by computed energy, the most stable listed first: *2*, *1*.